{
  "formula": "Ti2AlCo",
  "functional": "PBE",
  "state": "optimized geometry",
  "n_ef_per_ev_atom": 0.969,
  "total_magnetization_mub_per_atom": 0.00,
  "crystal_system": "tetragonal",
  "dft_energy_ev_per_cell": -53.332,
  "formation_enthalpy_0k_kj_per_mol_fu": -3,
  "rho_g_cm3": 4.8,
  "cell": [[6.978, 0.000, 0.000], [0.000, 6.978, 0.000], [3.489, 3.489, 2.578]],
  "species": ["Ti", "Ti", "Ti", "Ti", "Co", "Co", "Al", "Al"],
  "frac_coords": [[0.677, 0.125, 0.250], [0.375, 0.323, 0.750], [0.875, 0.927, 0.750], [0.073, 0.625, 0.250], [0.000, 0.000, 0.000], [0.750, 0.250, 0.500], [0.250, 0.750, 0.500], [0.500, 0.500, 0.000]]
}

{
  "formula": "CaYMg",
  "functional": "PBE",
  "state": "optimized geometry",
  "n_ef_per_ev_atom": 1.293,
  "total_magnetization_mub_per_atom": 0.00,
  "crystal_system": "tetragonal",
  "dft_energy_ev_per_cell": -20.413,
  "relative_energy_mev_per_atom": 0,
  "formation_enthalpy_0k_kj_per_mol_fu": -14,
  "rho_g_cm3": 2.7,
  "cell": [[-0.904, 3.386, 1.405], [-0.425, -1.534, 3.424], [12.940, 2.350, 2.658]],
  "species": ["Y", "Y", "Mg", "Mg", "Ca", "Ca"],
  "frac_coords": [[0.500, 0.000, 0.413], [0.000, 0.500, 0.587], [0.500, 0.000, 0.734], [0.000, 0.500, 0.266], [0.000, 0.500, 0.892], [0.500, 0.000, 0.108]]
}